CeInBi2 | GGA-PBE | relaxed

```
4
Lattice="1.710 0.987 12.687 -1.710 0.987 12.687 0.000 -1.974 12.687" Properties=species:S:1:pos:R:3 pbc="T T T"
Ce 0.000 0.000 0.000
In 0.000 0.000 19.030
Bi 0.000 0.000 3.294
Bi 0.000 0.000 34.766
```

Summary:
Formation energy: 0.13 eV/atom
Mass density: 8.698 g/cm³
E: -3.97 eV/atom
Symmetry: R-3m, No. 166
E above lowest polymorph: 0.5985 eV per atom